Record 1
TaTi6Pt5: relaxed, GGA-PBE. Values from VASP.

```
&SYSTEM
  ibrav = 0, nat = 12, ntyp = 3
/
ATOMIC_SPECIES
Ta 180.95 Ta.upf
Ti 47.87 Ti.upf
Pt 195.08 Pt.upf
CELL_PARAMETERS angstrom
4.617 0.000 0.000
0.000 6.187 0.000
-1.763 0.000 6.730
ATOMIC_POSITIONS crystal
Ta 0.000 0.000 0.000
Ti 0.132 0.247 0.339
Ti 0.132 0.753 0.339
Ti 0.500 0.252 0.000
Ti 0.500 0.748 0.000
Ti 0.868 0.247 0.661
Ti 0.868 0.753 0.661
Pt 0.000 0.500 0.000
Pt 0.384 0.000 0.678
Pt 0.390 0.500 0.678
Pt 0.610 0.500 0.322
Pt 0.616 0.000 0.322
```

Properties
ΔH_f (0 K), eV per atom: -0.757
DFT total energy, eV/atom: -8.209
SG: No. 10



Record 2
TaTi2Zn2Pt2: relaxed, GGA-PBE. Values from VASP.

```
&SYSTEM
  ibrav = 0, nat = 14, ntyp = 4
/
ATOMIC_SPECIES
Ta 180.95 Ta.upf
Ti 47.87 Ti.upf
Zn 65.41 Zn.upf
Pt 195.08 Pt.upf
CELL_PARAMETERS angstrom
7.665 0.000 0.000
0.000 4.437 0.000
-2.552 0.000 6.881
ATOMIC_POSITIONS crystal
Ta 0.000 0.000 0.000
Ta 0.500 0.500 0.000
Ti 0.107 0.500 0.818
Ti 0.393 0.000 0.182
Ti 0.607 0.000 0.818
Ti 0.893 0.500 0.182
Zn 0.135 0.000 0.406
Zn 0.365 0.500 0.594
Zn 0.635 0.500 0.406
Zn 0.865 0.000 0.594
Pt 0.239 0.500 0.218
Pt 0.261 0.000 0.782
Pt 0.739 0.000 0.218
Pt 0.761 0.500 0.782
```

Properties
ΔH_f (0 K), eV per atom: -0.499
DFT total energy, eV/atom: -6.538
SG: No. 12



Record 3
TaTl2Pt: relaxed, GGA-PBE. Values from VASP.

```
&SYSTEM
  ibrav = 0, nat = 4, ntyp = 3
/
ATOMIC_SPECIES
Ta 180.95 Ta.upf
Tl 204.38 Tl.upf
Pt 195.08 Pt.upf
CELL_PARAMETERS angstrom
4.365 0.000 0.000
0.000 4.365 0.000
0.000 0.000 4.211
ATOMIC_POSITIONS crystal
Ta 0.000 0.000 0.000
Tl 0.000 0.500 0.500
Tl 0.500 0.000 0.500
Pt 0.500 0.500 0.000
```

Properties
ΔH_f (0 K), eV per atom: 0.401
DFT total energy, eV/atom: -5.255
SG: No. 123
ΔE to the lowest computed polymorph, meV per atom: 362



Record 4
TaTl2Pt: relaxed, GGA-PBE. Values from VASP.

```
&SYSTEM
  ibrav = 0, nat = 4, ntyp = 3
/
ATOMIC_SPECIES
Ta 180.95 Ta.upf
Tl 204.38 Tl.upf
Pt 195.08 Pt.upf
CELL_PARAMETERS angstrom
3.091 0.000 0.000
0.000 4.723 0.000
-0.305 0.000 5.603
ATOMIC_POSITIONS crystal
Ta 0.000 0.000 0.000
Tl 0.310 0.500 0.748
Tl 0.690 0.500 0.252
Pt 0.500 0.000 0.500
```

Properties
ΔH_f (0 K), eV per atom: 0.425
DFT total energy, eV/atom: -5.231
SG: No. 10
ΔE to the lowest computed polymorph, meV per atom: 385



Record 5
TaTl4Pt: relaxed, GGA-PBE. Values from VASP.

```
&SYSTEM
  ibrav = 0, nat = 6, ntyp = 3
/
ATOMIC_SPECIES
Ta 180.95 Ta.upf
Tl 204.38 Tl.upf
Pt 195.08 Pt.upf
CELL_PARAMETERS angstrom
0.000 4.251 4.251
4.251 0.000 4.251
4.251 4.251 0.000
ATOMIC_POSITIONS crystal
Ta 0.000 0.000 0.000
Tl 0.126 0.625 0.625
Tl 0.625 0.126 0.625
Tl 0.625 0.625 0.126
Tl 0.625 0.625 0.625
Pt 0.250 0.250 0.250
```

Properties
ΔH_f (0 K), eV per atom: 1.110
DFT total energy, eV/atom: -3.449
SG: No. 216



Record 6
TaTlPt2: relaxed, GGA-PBE. Values from VASP.

```
&SYSTEM
  ibrav = 0, nat = 8, ntyp = 3
/
ATOMIC_SPECIES
Ta 180.95 Ta.upf
Tl 204.38 Tl.upf
Pt 195.08 Pt.upf
CELL_PARAMETERS angstrom
9.513 0.000 0.000
0.000 2.925 0.000
-0.811 0.000 5.173
ATOMIC_POSITIONS crystal
Ta 0.000 0.000 0.000
Ta 0.500 0.500 0.000
Tl 0.257 0.500 0.325
Tl 0.757 0.000 0.325
Pt 0.009 0.500 0.539
Pt 0.258 0.000 0.828
Pt 0.509 0.000 0.539
Pt 0.758 0.500 0.828
```

Properties
ΔH_f (0 K), eV per atom: -0.106
DFT total energy, eV/atom: -6.681
SG: No. 8



Record 7
TaTl2Pt: relaxed, GGA-PBE. Values from VASP.

```
&SYSTEM
  ibrav = 0, nat = 16, ntyp = 3
/
ATOMIC_SPECIES
Ta 180.95 Ta.upf
Tl 204.38 Tl.upf
Pt 195.08 Pt.upf
CELL_PARAMETERS angstrom
6.923 0.000 0.000
0.000 6.923 0.000
0.000 0.000 6.923
ATOMIC_POSITIONS crystal
Ta 0.000 0.000 0.000
Ta 0.000 0.500 0.500
Ta 0.500 0.000 0.500
Ta 0.500 0.500 0.000
Tl 0.000 0.000 0.500
Tl 0.000 0.500 0.000
Tl 0.250 0.250 0.750
Tl 0.250 0.750 0.250
Tl 0.500 0.000 0.000
Tl 0.500 0.500 0.500
Tl 0.750 0.250 0.250
Tl 0.750 0.750 0.750
Pt 0.250 0.250 0.250
Pt 0.250 0.750 0.750
Pt 0.750 0.250 0.750
Pt 0.750 0.750 0.250
```

Properties
ΔH_f (0 K), eV per atom: 0.556
DFT total energy, eV/atom: -5.100
SG: No. 216
ΔE to the lowest computed polymorph, meV per atom: 516



Record 8
TaTlPt2: relaxed, GGA-PBE. Values from VASP.

```
&SYSTEM
  ibrav = 0, nat = 4, ntyp = 3
/
ATOMIC_SPECIES
Ta 180.95 Ta.upf
Tl 204.38 Tl.upf
Pt 195.08 Pt.upf
CELL_PARAMETERS angstrom
2.860 0.000 0.000
0.000 3.296 0.000
0.000 0.000 7.999
ATOMIC_POSITIONS crystal
Ta 0.000 0.000 0.000
Tl 0.000 0.000 0.500
Pt 0.500 0.500 0.214
Pt 0.500 0.500 0.786
```

Properties
ΔH_f (0 K), eV per atom: -0.324
DFT total energy, eV/atom: -6.899
SG: No. 47



Record 9
TaTlPt2: relaxed, GGA-PBE. Values from VASP.

```
&SYSTEM
  ibrav = 0, nat = 12, ntyp = 3
/
ATOMIC_SPECIES
Ta 180.95 Ta.upf
Tl 204.38 Tl.upf
Pt 195.08 Pt.upf
CELL_PARAMETERS angstrom
2.996 0.000 0.000
-1.498 2.595 0.000
0.000 0.000 28.552
ATOMIC_POSITIONS crystal
Ta 0.000 0.000 0.000
Ta 0.333 0.667 0.667
Ta 0.667 0.333 0.333
Tl 0.000 0.000 0.500
Tl 0.333 0.667 0.167
Tl 0.667 0.333 0.833
Pt 0.000 0.000 0.257
Pt 0.000 0.000 0.743
Pt 0.333 0.667 0.410
Pt 0.333 0.667 0.924
Pt 0.667 0.333 0.076
Pt 0.667 0.333 0.590
```

Properties
ΔH_f (0 K), eV per atom: -0.110
DFT total energy, eV/atom: -6.685
SG: No. 166



Record 10
TaTlPt2: relaxed, GGA-PBE. Values from VASP.

```
&SYSTEM
  ibrav = 0, nat = 4, ntyp = 3
/
ATOMIC_SPECIES
Ta 180.95 Ta.upf
Tl 204.38 Tl.upf
Pt 195.08 Pt.upf
CELL_PARAMETERS angstrom
2.974 0.000 0.000
0.000 3.996 0.000
0.000 0.000 6.168
ATOMIC_POSITIONS crystal
Ta 0.000 0.000 0.000
Tl 0.500 0.500 0.314
Pt 0.000 0.000 0.564
Pt 0.500 0.500 0.816
```

Properties
ΔH_f (0 K), eV per atom: -0.078
DFT total energy, eV/atom: -6.653
SG: No. 25



Record 11
TaTlPt2: relaxed, GGA-PBE. Values from VASP.

```
&SYSTEM
  ibrav = 0, nat = 4, ntyp = 3
/
ATOMIC_SPECIES
Ta 180.95 Ta.upf
Tl 204.38 Tl.upf
Pt 195.08 Pt.upf
CELL_PARAMETERS angstrom
5.035 0.000 0.000
0.000 5.035 0.000
0.000 0.000 2.856
ATOMIC_POSITIONS crystal
Ta 0.000 0.000 0.000
Tl 0.500 0.500 0.000
Pt 0.000 0.500 0.500
Pt 0.500 0.000 0.500
```

Properties
ΔH_f (0 K), eV per atom: -0.070
DFT total energy, eV/atom: -6.645
SG: No. 123



Record 12
TaTl2Pt: relaxed, GGA-PBE. Values from VASP.

```
&SYSTEM
  ibrav = 0, nat = 8, ntyp = 3
/
ATOMIC_SPECIES
Ta 180.95 Ta.upf
Tl 204.38 Tl.upf
Pt 195.08 Pt.upf
CELL_PARAMETERS angstrom
3.179 0.000 0.000
0.000 5.417 0.000
0.000 0.000 9.611
ATOMIC_POSITIONS crystal
Ta 0.000 0.000 0.000
Ta 0.500 0.500 0.000
Tl 0.000 0.500 0.260
Tl 0.000 0.500 0.740
Tl 0.500 0.000 0.260
Tl 0.500 0.000 0.740
Pt 0.000 0.000 0.500
Pt 0.500 0.500 0.500
```

Properties
ΔH_f (0 K), eV per atom: 0.430
DFT total energy, eV/atom: -5.227
SG: No. 65
ΔE to the lowest computed polymorph, meV per atom: 390



Record 13
TaTlPt3: relaxed, GGA-PBE. Values from VASP.

```
&SYSTEM
  ibrav = 0, nat = 5, ntyp = 3
/
ATOMIC_SPECIES
Ta 180.95 Ta.upf
Tl 204.38 Tl.upf
Pt 195.08 Pt.upf
CELL_PARAMETERS angstrom
4.969 0.000 0.000
0.000 4.969 0.000
0.000 0.000 4.969
ATOMIC_POSITIONS crystal
Ta 0.000 0.000 0.000
Tl 0.500 0.500 0.500
Pt 0.000 0.000 0.500
Pt 0.000 0.500 0.000
Pt 0.500 0.000 0.000
```

Properties
ΔH_f (0 K), eV per atom: 0.642
DFT total energy, eV/atom: -5.826
SG: No. 221
ΔE to the lowest computed polymorph, meV per atom: 0



Record 14
TaTlPt2: relaxed, GGA-PBE. Values from VASP.

```
&SYSTEM
  ibrav = 0, nat = 8, ntyp = 3
/
ATOMIC_SPECIES
Ta 180.95 Ta.upf
Tl 204.38 Tl.upf
Pt 195.08 Pt.upf
CELL_PARAMETERS angstrom
5.865 0.000 0.000
0.000 8.329 0.000
0.000 0.000 2.924
ATOMIC_POSITIONS crystal
Ta 0.000 0.000 0.000
Ta 0.500 0.500 0.000
Tl 0.000 0.500 0.000
Tl 0.500 0.000 0.000
Pt 0.250 0.250 0.500
Pt 0.250 0.750 0.500
Pt 0.750 0.250 0.500
Pt 0.750 0.750 0.500
```

Properties
ΔH_f (0 K), eV per atom: -0.032
DFT total energy, eV/atom: -6.607
SG: No. 65



What calculated volume values result from the calculations? In sequence: 192.2 234.0 80.2 81.8 153.7 143.9 331.8 75.4 221.9 73.3 72.4 165.5 122.7 142.9 Å³ per cell.
What total magnetization values result from the calculations? In sequence: 0.00 0.00 0.00 0.00 2.62 0.00 3.49 0.00 0.00 0.00 0.00 0.00 0.00 0.00 μB/cell.